# PBE HAuSeBr2, optimized geometry
# Size of the total moment   2.7 μB per cell
data_HAuSeBr2
_symmetry_space_group_name_H-M 'P 4/m m m'
_symmetry_Int_Tables_number 123
_symmetry_space_group_name_Hall '-P 4 2'
_cell_length_a 5.378
_cell_length_b 5.378
_cell_length_c 5.106
_cell_angle_alpha 90.00
_cell_angle_beta 90.00
_cell_angle_gamma 90.00
loop_
_atom_site_label
_atom_site_type_symbol
_atom_site_fract_x
_atom_site_fract_y
_atom_site_fract_z
H1 H 0.000 0.000 0.000
Au1 Au 0.500 0.500 0.500
Se1 Se 0.500 0.500 0.000
Br1 Br 0.000 0.500 0.500


# PBE BeNb3Co3, optimized geometry
# Size of the total moment   2.5 μB per cell
# Calculated formation energy   0.042 eV/atom
data_BeNb3Co3
_symmetry_space_group_name_H-M 'P 63/m m c'
_symmetry_Int_Tables_number 194
_symmetry_space_group_name_Hall '-P 6c 2c'
_cell_length_a 8.2000
_cell_length_b 8.2000
_cell_length_c 3.3042
_cell_angle_alpha 90.00
_cell_angle_beta 90.00
_cell_angle_gamma 120.00
loop_
_atom_site_label
_atom_site_type_symbol
_atom_site_fract_x
_atom_site_fract_y
_atom_site_fract_z
Be1 Be 0.3333 0.6667 0.2500
Nb1 Nb 0.1598 0.3196 0.2500
Co1 Co 0.1300 0.5650 0.7500


Record order is preserved below.
VASP energy: -2.00, -7.85 eV per atom